Below is crystalline InTcPO2 at its relaxed geometry, with properties calculated at the PBE-GGA level.

Calculated values
* energy relative to the lowest polymorph listed for this composition: 0.000 eV/atom
* uncorrected formation energy: -0.7369 eV/atom

Lattice parameters (Å, degrees): 3.8332 3.8332 5.2118 90.00 90.00 90.00
Last column: nearest neighbours and their distance in Å.
Atoms (fractional coordinates):
1 O 0.5000 0.0000 0.0000  2 Tc 1.92
2 O 0.0000 0.5000 0.0000  2 Tc 1.92
3 P 0.0000 0.0000 0.5000  2 Tc 2.61, 4 In 2.71
4 In 0.5000 0.5000 0.5000  4 P 2.71
5 Tc 0.0000 0.0000 0.0000  4 O 1.92

=====

Below is crystalline BaBiTeSe2 at its relaxed geometry, with properties calculated at the PBE-GGA level.

Calculated values
* uncorrected formation energy: 0.3601 eV/atom

Lattice parameters (Å, degrees): 5.8013 5.8013 6.6127 90.00 90.00 90.00
Last column: nearest neighbours and their distance in Å.
Atoms (fractional coordinates):
1 Bi 0.5000 0.5000 0.5000  4 Te 4.10, 8 Se 4.40
2 Te 0.0000 0.0000 0.5000  2 Ba 3.31
3 Se 0.5000 0.0000 0.0000  2 Ba 2.90
4 Se 0.0000 0.5000 0.0000  2 Ba 2.90
5 Ba 0.0000 0.0000 0.0000  4 Se 2.90

=====

Below is crystalline NdHfMg2 at its relaxed geometry, with properties calculated at the PBE-GGA level.

Calculated values
* ΔE_f: 0.1528 eV/atom
* energy relative to the lowest polymorph listed for this composition: 0.052 eV/atom

Lattice parameters (Å, degrees): 3.2377 3.2377 11.3625 81.81 81.81 60.00
Last column: nearest neighbours and their distance in Å.
Atoms (fractional coordinates):
1 Nd 0.5000 0.5000 0.5000  6 Nd 3.24, 6 Mg 3.53
2 Hf 0.0000 0.0000 0.0000  6 Mg 3.21, 6 Hf 3.24
3 Mg 0.7444 0.7444 0.7669  3 Hf 3.21, 6 Mg 3.24, 3 Nd 3.53
4 Mg 0.2556 0.2556 0.2331  3 Hf 3.21, 6 Mg 3.24, 3 Nd 3.53

=====

Below is crystalline TaTlOs2 at its relaxed geometry, with properties calculated at the PBE-GGA level.

Calculated values
* ΔE_f: 0.9870 eV/atom
* energy relative to the lowest polymorph listed for this composition: 0.706 eV/atom

Lattice parameters (Å, degrees): 7.4852 7.4852 5.9788 51.25 51.25 90.00
Last column: nearest neighbours and their distance in Å.
Atoms (fractional coordinates):
1 Os 0.1685 0.6250 0.2500  2 Ta 2.52
2 Os 0.8750 0.8315 0.7500  2 Ta 2.52
3 Os 0.5815 0.1250 0.2500  2 Ta 2.52
4 Os 0.3750 0.4185 0.7500  2 Ta 2.52
5 Ta 0.2500 0.7500 0.5000  4 Os 2.52, 2 Tl 2.78
6 Ta 0.5000 0.5000 0.0000  4 Os 2.52, 2 Tl 2.78
7 Tl 0.7500 0.2500 0.5000  2 Ta 2.78, 4 Os 2.97
8 Tl 0.0000 0.0000 0.0000  2 Ta 2.78, 4 Os 2.97

=====

Below is crystalline Dy4NiHg2 at its relaxed geometry, with properties calculated at the PBE-GGA level.

Calculated values
* ΔE_f: -0.2758 eV/atom
* energy relative to the lowest polymorph listed for this composition: 0.000 eV/atom

Lattice parameters (Å, degrees): 3.8887 7.8444 12.8917 90.00 90.00 90.00
Last column: nearest neighbours and their distance in Å.
Atoms (fractional coordinates):
1 Hg 0.5000 0.4161 0.6647  6 Dy 3.07-3.17
2 Hg 0.5000 0.9161 0.8353  6 Dy 3.07-3.17
3 Hg 0.5000 0.0839 0.1647  6 Dy 3.07-3.17
4 Hg 0.5000 0.5839 0.3353  6 Dy 3.07-3.17
5 Dy 0.5000 0.2749 0.9478  2 Ni 2.71
6 Dy 0.5000 0.2251 0.4478  2 Ni 2.71
7 Dy 0.0000 0.8829 0.3044  1 Ni 2.68
8 Dy 0.0000 0.1171 0.6956  1 Ni 2.68
9 Dy 0.0000 0.6171 0.8044  1 Ni 2.68
10 Dy 0.0000 0.3829 0.1956  1 Ni 2.68
11 Dy 0.5000 0.7251 0.0522  2 Ni 2.71
12 Dy 0.5000 0.7749 0.5522  2 Ni 2.71
13 Ni 0.0000 0.0000 0.5000  6 Dy 2.68-2.71
14 Ni 0.0000 0.5000 0.0000  6 Dy 2.68-2.71

=====

Below is crystalline MnTlNi2 at its relaxed geometry, with properties calculated at the PBE-GGA level.

Calculated values
* ΔE_f: 0.1622 eV/atom
* energy relative to the lowest polymorph listed for this composition: 0.000 eV/atom

Lattice parameters (Å, degrees): 4.3380 4.3380 4.3380 60.00 60.00 60.00
Last column: nearest neighbours and their distance in Å.
Atoms (fractional coordinates):
1 Mn 0.0000 0.0000 0.0000  8 Ni 2.66
2 Tl 0.5000 0.5000 0.5000  8 Ni 2.66
3 Ni 0.2500 0.2500 0.2500  4 Tl 2.66, 4 Mn 2.66
4 Ni 0.7500 0.7500 0.7500  4 Tl 2.66, 4 Mn 2.66

=====

Below is crystalline LaCe2YBi5 at its relaxed geometry, with properties calculated at the PBE-GGA level.

Calculated values
* ΔE_f: 0.0378 eV/atom

Lattice parameters (Å, degrees): 5.6678 5.6678 11.9370 90.00 90.00 90.00
Last column: nearest neighbours and their distance in Å.
Atoms (fractional coordinates):
1 Bi 0.5000 0.5000 0.0000  2 Ce 3.38
2 Bi 0.0000 0.5000 0.5000  2 La 2.83
3 Bi 0.0000 0.0000 0.7576  1 Y 2.89, 1 La 3.08
4 Bi 0.5000 0.0000 0.5000  2 La 2.83
5 Bi 0.0000 0.0000 0.2424  1 Y 2.89, 1 La 3.08
6 Ce 0.5000 0.5000 0.2833  1 Bi 3.38
7 Ce 0.5000 0.5000 0.7167  1 Bi 3.38
8 Y 0.0000 0.0000 0.0000  2 Bi 2.89
9 La 0.0000 0.0000 0.5000  6 Bi 2.83-3.08

=====

Below is crystalline ScCd3 at its relaxed geometry, with properties calculated at the PBE-GGA level.

Calculated values
* ΔE_f: -0.0163 eV/atom

Lattice parameters (Å, degrees): 5.6974 5.6974 5.6974 90.00 90.00 90.00
Last column: nearest neighbours and their distance in Å.
Atoms (fractional coordinates):
1 Cd 0.7500 0.5000 0.0000  2 Cd 2.85, 4 Sc 3.18
2 Cd 0.5000 0.0000 0.7500  2 Cd 2.85, 4 Sc 3.18
3 Cd 0.0000 0.2500 0.5000  2 Cd 2.85, 4 Sc 3.18
4 Cd 0.5000 0.0000 0.2500  2 Cd 2.85, 4 Sc 3.18
5 Cd 0.2500 0.5000 0.0000  2 Cd 2.85, 4 Sc 3.18
6 Cd 0.0000 0.7500 0.5000  2 Cd 2.85, 4 Sc 3.18
7 Sc 0.0000 0.0000 0.0000  12 Cd 3.18
8 Sc 0.5000 0.5000 0.5000  12 Cd 3.18

=====

Below is crystalline PrHo12Sc3 at its relaxed geometry, with properties calculated at the PBE-GGA level.

Calculated values
* ΔE_f: 0.0397 eV/atom

Lattice parameters (Å, degrees): 4.9380 4.9380 19.6971 90.00 90.00 90.00
Last column: nearest neighbours and their distance in Å.
Atoms (fractional coordinates):
1 Sc 0.0000 0.0000 0.7464  12 Ho 3.46-3.49
2 Sc 0.0000 0.0000 0.5000  12 Ho 3.46-3.49
3 Sc 0.0000 0.0000 0.2536  12 Ho 3.46-3.49
4 Ho 0.0000 0.5000 0.3771  8 Ho 3.45-3.49, 4 Sc 3.46-3.47
5 Ho 0.0000 0.5000 0.8691  2 Sc 3.46, 8 Ho 3.47-3.57, 2 Pr 3.57
6 Ho 0.5000 0.5000 0.0000  4 Pr 3.49, 8 Ho 3.57
7 Ho 0.5000 0.5000 0.5000  8 Ho 3.46, 4 Sc 3.49
8 Ho 0.0000 0.5000 0.1309  2 Sc 3.46, 8 Ho 3.47-3.57, 2 Pr 3.57
9 Ho 0.5000 0.5000 0.2549  8 Ho 3.45-3.47, 4 Sc 3.49
10 Ho 0.5000 0.0000 0.6229  8 Ho 3.45-3.49, 4 Sc 3.46-3.47
11 Ho 0.5000 0.0000 0.8691  2 Sc 3.46, 8 Ho 3.47-3.57, 2 Pr 3.57
12 Ho 0.5000 0.0000 0.1309  2 Sc 3.46, 8 Ho 3.47-3.57, 2 Pr 3.57
13 Ho 0.5000 0.0000 0.3771  8 Ho 3.45-3.49, 4 Sc 3.46-3.47
14 Ho 0.5000 0.5000 0.7451  8 Ho 3.45-3.47, 4 Sc 3.49
15 Ho 0.0000 0.5000 0.6229  8 Ho 3.45-3.49, 4 Sc 3.46-3.47
16 Pr 0.0000 0.0000 0.0000  12 Ho 3.49-3.57

=====

Below is crystalline GaAsPSe2 at its relaxed geometry, with properties calculated at the PBE-GGA level.

Calculated values
* energy relative to the lowest polymorph listed for this composition: 0.000 eV/atom
* uncorrected formation energy: 0.4147 eV/atom

Lattice parameters (Å, degrees): 4.9885 4.9885 4.7248 90.00 90.00 90.00
Last column: nearest neighbours and their distance in Å.
Atoms (fractional coordinates):
1 Se 0.5000 0.0000 0.0000  2 P 2.49
2 Se 0.0000 0.5000 0.0000  2 P 2.49
3 Ga 0.5000 0.5000 0.5000  8 Se 3.44, 4 As 3.53
4 P 0.0000 0.0000 0.0000  2 As 2.36, 4 Se 2.49
5 As 0.0000 0.0000 0.5000  2 P 2.36

=====

Below is crystalline RbGaSb2Pb at its relaxed geometry, with properties calculated at the PBE-GGA level.

Calculated values
* energy relative to the lowest polymorph listed for this composition: 1.389 eV/atom
* uncorrected formation energy: 1.2084 eV/atom

Lattice parameters (Å, degrees): 6.1580 6.0972 6.1580 90.00 90.00 90.00
Last column: nearest neighbours and their distance in Å.
Atoms (fractional coordinates):
1 Ga 0.5000 0.5000 0.5000  8 Sb 4.33, 4 Pb 4.35
2 Pb 0.0000 0.5000 0.0000  2 Rb 3.05
3 Sb 0.0000 0.0000 0.5000  2 Rb 3.08
4 Sb 0.5000 0.0000 0.0000  2 Rb 3.08
5 Rb 0.0000 0.0000 0.0000  2 Pb 3.05, 4 Sb 3.08

=====

Below is crystalline La2PmSn3Rh4 at its relaxed geometry, with properties calculated at the PBE-GGA level.

Calculated values
* ΔE_f: -0.7590 eV/atom

Lattice parameters (Å, degrees): 4.4749 4.4749 11.5337 90.00 90.00 90.00
Last column: nearest neighbours and their distance in Å.
Atoms (fractional coordinates):
1 Rh 0.5000 0.5000 0.0000  4 Sn 2.65
2 Rh 0.0000 0.0000 0.0000  4 Sn 2.65
3 Rh 0.5000 0.0000 0.6497  3 Sn 2.62-2.83, 2 Pm 2.83
4 Rh 0.0000 0.5000 0.3503  3 Sn 2.62-2.83, 2 Pm 2.83
5 La 0.5000 0.0000 0.2318  4 Sn 3.40, 8 Rh 3.45-3.49
6 La 0.0000 0.5000 0.7682  4 Sn 3.40, 8 Rh 3.45-3.49
7 Sn 0.0000 0.0000 0.5000  4 Rh 2.83, 4 Pm 3.16
8 Sn 0.0000 0.5000 0.1232  5 Rh 2.62-2.65
9 Sn 0.5000 0.0000 0.8768  5 Rh 2.62-2.65
10 Pm 0.5000 0.5000 0.5000  4 Rh 2.83, 4 Sn 3.16

=====

Below is crystalline NdDyY2Te6 at its relaxed geometry, with properties calculated at the PBE-GGA level.

Calculated values
* uncorrected formation energy: -1.3772 eV/atom

Lattice parameters (Å, degrees): 7.7682 7.7681 8.3678 62.34 62.34 60.00
Last column: nearest neighbours and their distance in Å.
Atoms (fractional coordinates):
1 Te 0.6027 0.2349 0.2475  1 Dy 3.08, 2 Y 3.08-3.11, 1 Nd 3.21
2 Te 0.2348 0.9150 0.2475  1 Dy 3.08, 2 Y 3.08-3.11, 1 Nd 3.21
3 Te 0.1149 0.4030 0.7513  2 Y 3.06-3.11, 1 Dy 3.11, 1 Nd 3.14
4 Te 0.7308 0.1148 0.7514  2 Y 3.06-3.11, 1 Dy 3.11, 1 Nd 3.14
5 Te 0.4030 0.7308 0.7514  2 Y 3.06-3.11, 1 Dy 3.11, 1 Nd 3.14
6 Te 0.9149 0.6027 0.2475  1 Dy 3.08, 2 Y 3.08-3.11, 1 Nd 3.21
7 Dy 0.3226 0.3226 0.0322  6 Te 3.08-3.11
8 Nd 0.8200 0.8200 0.5400  6 Te 3.14-3.21
9 Y 0.0079 0.0079 0.9762  6 Te 3.06-3.11
10 Y 0.5099 0.5099 0.4704  6 Te 3.08-3.11

=====

Below is crystalline Rb6SiF12 at its relaxed geometry, with properties calculated at the PBE-GGA level.

Calculated values
* uncorrected formation energy: -2.6025 eV/atom

Lattice parameters (Å, degrees): 7.5632 7.5632 7.5632 98.94 98.94 98.94
Last column: nearest neighbours and their distance in Å.
Atoms (fractional coordinates):
1 Rb 0.1564 0.2596 0.6011  6 F 2.74-3.00
2 Rb 0.8436 0.7404 0.3989  6 F 2.74-3.00
3 Rb 0.7404 0.3989 0.8436  6 F 2.74-3.00
4 Rb 0.6011 0.1564 0.2596  6 F 2.74-3.00
5 Rb 0.3989 0.8436 0.7404  6 F 2.74-3.00
6 Rb 0.2596 0.6011 0.1564  6 F 2.74-3.00
7 F 0.4171 0.5194 0.8559  1 F 2.42
8 F 0.4806 0.1441 0.5829  1 F 2.42
9 F 0.5194 0.8559 0.4171  1 F 2.42
10 F 0.0509 0.2294 0.9924  1 Si 1.73
11 F 0.9491 0.7706 0.0076  1 Si 1.73
12 F 0.0076 0.9491 0.7706  1 Si 1.73
13 F 0.9924 0.0509 0.2294  1 Si 1.73
14 F 0.2294 0.9924 0.0509  1 Si 1.73
15 F 0.5829 0.4806 0.1441  1 F 2.42
16 F 0.1441 0.5829 0.4806  1 F 2.42
17 F 0.8559 0.4171 0.5194  1 F 2.42
18 F 0.7706 0.0076 0.9491  1 Si 1.73
19 Si 0.0000 0.0000 0.0000  6 F 1.73

=====

Below is crystalline CaLa2Pr5Y at its relaxed geometry, with properties calculated at the PBE-GGA level.

Calculated values
* ΔE_f: 0.1389 eV/atom

Lattice parameters (Å, degrees): 5.6462 11.5753 10.5811 90.00 90.00 104.12
Last column: nearest neighbours and their distance in Å.
Atoms (fractional coordinates):
1 Pr 0.5000 0.0001 0.7582  2 Ca 3.50, 6 Pr 3.74-3.87, 4 La 3.87
2 Pr 0.7219 0.4439 0.8150  2 Pr 3.32, 1 Ca 3.38, 3 Y 3.49-3.50, 1 La 3.63
3 Pr 0.7218 0.4437 0.2015  2 Pr 3.32, 1 Ca 3.38, 3 Y 3.49-3.50, 1 La 3.63
4 Pr 0.2782 0.5563 0.7015  2 Pr 3.32, 1 Ca 3.38, 3 Y 3.49-3.50, 1 La 3.63
5 Pr 0.5000 0.9999 0.2582  2 Ca 3.50, 6 Pr 3.74-3.87, 4 La 3.87
6 Pr 0.0003 0.0005 0.5082  4 La 3.59-3.89, 2 Ca 3.64, 6 Pr 3.86-3.87
7 Pr 0.9997 0.9995 0.0082  4 La 3.59-3.89, 2 Ca 3.64, 6 Pr 3.86-3.87
8 Pr 0.3825 0.7649 0.0082  1 Y 3.64, 4 La 3.73, 6 Pr 3.74-4.00
9 Pr 0.6175 0.2351 0.5082  1 Y 3.64, 4 La 3.73, 6 Pr 3.74-4.00
10 Pr 0.2781 0.5561 0.3150  2 Pr 3.32, 1 Ca 3.38, 3 Y 3.49-3.50, 1 La 3.63
11 La 0.1174 0.2349 0.2778  9 Pr 3.59-3.89, 1 Y 3.67
12 La 0.8825 0.7649 0.2386  9 Pr 3.59-3.89, 1 Y 3.67
13 La 0.8826 0.7651 0.7778  9 Pr 3.59-3.89, 1 Y 3.67
14 La 0.1175 0.2351 0.7386  9 Pr 3.59-3.89, 1 Y 3.67
15 Y 0.7798 0.5596 0.5083  7 Pr 3.49-3.64, 2 La 3.67, 2 Ca 3.87
16 Y 0.2202 0.4404 0.0082  7 Pr 3.49-3.64, 2 La 3.67, 2 Ca 3.87
17 Ca 0.6021 0.2042 0.0082  6 Pr 3.38-3.64
18 Ca 0.3979 0.7958 0.5082  6 Pr 3.38-3.64

=====

Below is crystalline Li2MnPd at its relaxed geometry, with properties calculated at the PBE-GGA level.

Calculated values
* ΔE_f: 0.0610 eV/atom

Lattice parameters (Å, degrees): 2.7445 2.7445 9.4855 81.68 81.68 60.00
Last column: nearest neighbours and their distance in Å.
Atoms (fractional coordinates):
1 Li 0.0917 0.0917 0.7249  1 Mn 2.57, 3 Pd 2.63, 6 Li 2.74
2 Li 0.9083 0.9083 0.2751  1 Mn 2.57, 3 Pd 2.63, 6 Li 2.74
3 Pd 0.5000 0.5000 0.5000  6 Li 2.63, 6 Pd 2.74
4 Mn 0.0000 0.0000 0.0000  2 Li 2.57, 6 Mn 2.74

=====

Below is crystalline Hf2TlP at its relaxed geometry, with properties calculated at the PBE-GGA level.

Calculated values
* ΔE_f: -0.6428 eV/atom
* energy relative to the lowest polymorph listed for this composition: 0.000 eV/atom

Lattice parameters (Å, degrees): 3.5670 3.5670 7.9111 76.97 76.97 60.00
Last column: nearest neighbours and their distance in Å.
Atoms (fractional coordinates):
1 P 0.0000 0.0000 0.0000  6 Hf 2.52
2 Hf 0.7302 0.7302 0.8095  3 P 2.52
3 Hf 0.2698 0.2698 0.1905  3 P 2.52
4 Tl 0.5000 0.5000 0.5000  6 Hf 3.14

=====

Below is crystalline BaSc2Ga2 at its relaxed geometry, with properties calculated at the PBE-GGA level.

Calculated values
* ΔE_f: -0.3210 eV/atom
* energy relative to the lowest polymorph listed for this composition: 0.000 eV/atom

Lattice parameters (Å, degrees): 8.6818 8.6818 3.1794 90.00 90.00 90.00
Last column: nearest neighbours and their distance in Å.
Atoms (fractional coordinates):
1 Ba 0.5000 0.5000 0.0000  2 Ba 3.18, 4 Sc 3.43
2 Ba 0.0000 0.0000 0.0000  2 Ba 3.18, 4 Sc 3.43
3 Ga 0.1692 0.6692 0.5000  6 Sc 2.98-3.03, 2 Ga 3.18
4 Ga 0.6692 0.8308 0.5000  6 Sc 2.98-3.03, 2 Ga 3.18
5 Ga 0.3308 0.1692 0.5000  6 Sc 2.98-3.03, 2 Ga 3.18
6 Ga 0.8308 0.3308 0.5000  6 Sc 2.98-3.03, 2 Ga 3.18
7 Sc 0.3747 0.8747 0.0000  6 Ga 2.98-3.03, 3 Sc 3.08-3.18
8 Sc 0.6253 0.1253 0.0000  6 Ga 2.98-3.03, 3 Sc 3.08-3.18
9 Sc 0.8747 0.6253 0.0000  6 Ga 2.98-3.03, 3 Sc 3.08-3.18
10 Sc 0.1253 0.3747 0.0000  6 Ga 2.98-3.03, 3 Sc 3.08-3.18

=====

Below is crystalline K2NaTl6 at its relaxed geometry, with properties calculated at the PBE-GGA level.

Calculated values
* ΔE_f: -0.0717 eV/atom
* energy relative to the lowest polymorph listed for this composition: 0.003 eV/atom

Lattice parameters (Å, degrees): 3.7072 9.5374 9.5374 60.00 89.99 89.99
Last column: nearest neighbours and their distance in Å.
Atoms (fractional coordinates):
1 K 0.0000 0.3333 0.3333  2 K 3.71, 12 Tl 3.71
2 K 0.0000 0.6667 0.6667  2 K 3.71, 12 Tl 3.71
3 Tl 0.5000 0.3256 0.6744  3 Tl 3.11-3.33
4 Tl 0.5007 0.3256 0.0000  3 Tl 3.11-3.33
5 Tl 0.5007 0.0000 0.3256  3 Tl 3.11-3.33
6 Tl 0.5000 0.6744 0.3256  3 Tl 3.11-3.33
7 Tl 0.4993 0.6744 0.0000  3 Tl 3.11-3.33
8 Tl 0.4993 0.0000 0.6744  3 Tl 3.11-3.33
9 Na 0.0000 0.0000 0.0000  12 Tl 3.61-3.62, 2 Na 3.71

=====

Below is crystalline ZnAg3Sb at its relaxed geometry, with properties calculated at the PBE-GGA level.

Calculated values
* energy relative to the lowest polymorph listed for this composition: 0.010 eV/atom
* uncorrected formation energy: 0.4474 eV/atom

Lattice parameters (Å, degrees): 4.8515 4.8515 4.8515 90.00 90.00 90.00
Last column: nearest neighbours and their distance in Å.
Atoms (fractional coordinates):
1 Ag 0.0000 0.5000 0.0000  2 Zn 2.43
2 Ag 0.5000 0.0000 0.0000  2 Zn 2.43
3 Ag 0.0000 0.0000 0.5000  2 Zn 2.43
4 Sb 0.5000 0.5000 0.5000  12 Ag 3.43
5 Zn 0.0000 0.0000 0.0000  6 Ag 2.43